# 1
The following is a DFT calculation (GGA-PBE) of a relaxed LaPuHg2O6 crystal.

Results
N(E_F) = 8.928 states/eV/f.u.
Space-group type = R-3
Raw formation energy = -1.908 eV per atom

a b c (Å): 6.3094 6.3094 6.3094
angles (deg): 56.07 56.07 56.07
Last column: nearest neighbours and their distance in Å.
Atoms (fractional coordinates):
La1 0.0000 0.0000 0.0000  6 O 2.43
Pu1 0.5000 0.5000 0.5000  6 O 2.16
Hg1 0.2478 0.2478 0.2478  3 O 2.22
Hg2 0.7522 0.7522 0.7522  3 O 2.22
O1 0.1404 0.7293 0.3929  1 Pu 2.16, 1 Hg 2.22
O2 0.2707 0.6071 0.8596  1 Pu 2.16, 1 Hg 2.22
O3 0.3929 0.1404 0.7293  1 Pu 2.16, 1 Hg 2.22
O4 0.6071 0.8596 0.2707  1 Pu 2.16, 1 Hg 2.22
O5 0.7293 0.3929 0.1404  1 Pu 2.16, 1 Hg 2.22
O6 0.8596 0.2707 0.6071  1 Pu 2.16, 1 Hg 2.22

***

# 2
The following is a DFT calculation (GGA-PBE) of a relaxed HgPt2Se crystal.

Results
N(E_F) = 4.781 states/eV/f.u.
Space-group type = F-43m
Raw formation energy = 0.378 eV per atom

a b c (Å): 4.6855 4.6855 4.6855
angles (deg): 60.00 60.00 60.00
Last column: nearest neighbours and their distance in Å.
Atoms (fractional coordinates):
Hg1 0.0000 0.0000 0.0000  4 Se 2.87, 4 Pt 2.87
Pt1 0.2500 0.2500 0.2500  4 Pt 2.87, 4 Hg 2.87
Pt2 0.5000 0.5000 0.5000  4 Se 2.87, 4 Pt 2.87
Se1 0.7500 0.7500 0.7500  4 Pt 2.87, 4 Hg 2.87

***

# 3
The following is a DFT calculation (GGA-PBE) of a relaxed Tc2MoRu crystal.

Results
N(E_F) = 4.841 states/eV/f.u.
ΔE to the lowest computed polymorph = 91.5 kJ/mol of formula units
Space-group type = P4/mmm
Energy of formation = 0.253 eV per atom

a b c (Å): 3.1184 3.1184 6.1577
angles (deg): 90.00 90.00 90.00
Last column: nearest neighbours and their distance in Å.
Atoms (fractional coordinates):
Tc1 0.0000 0.0000 0.2385  4 Mo 2.65, 4 Ru 2.73, 1 Tc 2.94
Tc2 0.0000 0.0000 0.7615  4 Mo 2.65, 4 Ru 2.73, 1 Tc 2.94
Mo1 0.5000 0.5000 0.0000  8 Tc 2.65
Ru1 0.5000 0.5000 0.5000  8 Tc 2.73